Record 1
# YPd2O (PBE, optimized geometry)
data_YPd2O
_chemical_formula_sum 'Y4 Pd8 O4'
_space_group_name_H-M_alt 'I -4 2 d'
_space_group_IT_number 122
_space_group_name_Hall 'I -4 2bw'
_cell_length_a 4.9008
_cell_length_b 4.9008
_cell_length_c 13.2458
_cell_angle_alpha 90.00
_cell_angle_beta 90.00
_cell_angle_gamma 90.00
loop_
_atom_site_label
_atom_site_type_symbol
_atom_site_fract_x
_atom_site_fract_y
_atom_site_fract_z
Y1 Y 0.0000 0.0000 0.0000
Pd1 Pd 0.1133 0.2500 0.6250
O1 O 0.0000 0.0000 0.5000
# Crystal system = tetragonal
# Formation energy (no corrections) = -431 meV/atom

Record 2
# YPdO2 (PBE, optimized geometry)
data_YPdO2
_chemical_formula_sum 'Y3 Pd3 O6'
_space_group_name_H-M_alt 'R -3 m'
_space_group_IT_number 166
_space_group_name_Hall '-R 3 2"'
_cell_length_a 3.4486
_cell_length_b 3.4486
_cell_length_c 18.4741
_cell_angle_alpha 90.00
_cell_angle_beta 90.00
_cell_angle_gamma 120.00
loop_
_atom_site_label
_atom_site_type_symbol
_atom_site_fract_x
_atom_site_fract_y
_atom_site_fract_z
Y1 Y 0.0000 0.0000 0.0000
Pd1 Pd 0.0000 0.0000 0.5000
O1 O 0.0000 0.0000 0.3910
# Crystal system = trigonal
# Formation energy (no corrections) = -2122 meV/atom

Record 3
# Y2ZnPdO6 (PBE, optimized geometry)
data_Y2ZnPdO6
_chemical_formula_sum 'Y4 Zn2 Pd2 O12'
_space_group_name_H-M_alt 'P 1 21/c 1'
_space_group_IT_number 14
_cell_length_a 5.3683
_cell_length_b 5.7501
_cell_length_c 9.4094
_cell_angle_alpha 90.00
_cell_angle_beta 124.77
_cell_angle_gamma 90.00
loop_
_space_group_symop_operation_xyz
'x,y,z'
'-x,-y,-z'
'-x,y+1/2,-z+1/2'
'x,-y+1/2,z+1/2'
loop_
_atom_site_label
_atom_site_type_symbol
_atom_site_fract_x
_atom_site_fract_y
_atom_site_fract_z
Y1 Y 0.2277 0.0764 0.2514
Zn1 Zn 0.5000 0.0000 0.0000
Pd1 Pd 0.0000 0.0000 0.5000
O1 O 0.1188 0.1986 0.9357
O2 O 0.2490 0.6902 0.9396
O3 O 0.3713 0.0487 0.7465
# Crystal system = monoclinic
# Formation energy (no corrections) = -2169 meV/atom

Record 4
# YZnPdO4 (PBE, optimized geometry)
data_YZnPdO4
_chemical_formula_sum 'Y4 Zn4 Pd4 O16'
_space_group_name_H-M_alt 'I m m a'
_space_group_IT_number 74
_space_group_name_Hall '-I 2b 2'
_cell_length_a 6.4477
_cell_length_b 6.6523
_cell_length_c 8.6406
_cell_angle_alpha 90.00
_cell_angle_beta 90.00
_cell_angle_gamma 90.00
loop_
_atom_site_label
_atom_site_type_symbol
_atom_site_fract_x
_atom_site_fract_y
_atom_site_fract_z
Y1 Y 0.0000 0.0000 0.0000
Zn1 Zn 0.0000 0.2500 0.3886
Pd1 Pd 0.2500 0.2500 0.7500
O1 O 0.0000 0.0210 0.7365
O2 O 0.2372 0.2500 0.9916
# Crystal system = orthorhombic
# Formation energy (no corrections) = -1676 meV/atom

Record 5
# Y2ZrPdO (PBE, optimized geometry)
data_Y2ZrPdO
_chemical_formula_sum 'Y2 Zr1 Pd1 O1'
_space_group_name_H-M_alt 'P 4/m m m'
_space_group_IT_number 123
_space_group_name_Hall '-P 4 2'
_cell_length_a 4.7304
_cell_length_b 4.7304
_cell_length_c 4.4158
_cell_angle_alpha 90.00
_cell_angle_beta 90.00
_cell_angle_gamma 90.00
loop_
_atom_site_label
_atom_site_type_symbol
_atom_site_fract_x
_atom_site_fract_y
_atom_site_fract_z
Y1 Y 0.0000 0.5000 0.0000
Zr1 Zr 0.0000 0.0000 0.5000
Pd1 Pd 0.5000 0.5000 0.5000
O1 O 0.0000 0.0000 0.0000
# Crystal system = tetragonal
# Formation energy (no corrections) = -1300 meV/atom

Record 6
# ZnPd6O12 (PBE, optimized geometry)
data_ZnPd6O12
_chemical_formula_sum 'Zn3 Pd18 O36'
_space_group_name_H-M_alt 'R -3'
_space_group_IT_number 148
_space_group_name_Hall '-R 3'
_cell_length_a 9.1907
_cell_length_b 9.1907
_cell_length_c 8.7395
_cell_angle_alpha 90.00
_cell_angle_beta 90.00
_cell_angle_gamma 120.00
loop_
_atom_site_label
_atom_site_type_symbol
_atom_site_fract_x
_atom_site_fract_y
_atom_site_fract_z
Zn1 Zn 0.0000 0.0000 0.0000
Pd1 Pd 0.0471 0.8011 0.6670
O1 O 0.0338 0.8060 0.4033
O2 O 0.0599 0.8488 0.8896
# Crystal system = trigonal
# Formation energy (no corrections) = -238 meV/atom

Record 7
# Zn3PdO (PBE, optimized geometry)
data_Zn3PdO
_chemical_formula_sum 'Zn3 Pd1 O1'
_space_group_name_H-M_alt 'P m -3 m'
_space_group_IT_number 221
_space_group_name_Hall '-P 4 2 3'
_cell_length_a 4.1292
_cell_length_b 4.1292
_cell_length_c 4.1292
_cell_angle_alpha 90.00
_cell_angle_beta 90.00
_cell_angle_gamma 90.00
loop_
_atom_site_label
_atom_site_type_symbol
_atom_site_fract_x
_atom_site_fract_y
_atom_site_fract_z
Zn1 Zn 0.0000 0.0000 0.5000
Pd1 Pd 0.5000 0.5000 0.5000
O1 O 0.0000 0.0000 0.0000
# Crystal system = cubic
# Formation energy (no corrections) = -333 meV/atom
# Energy above the most stable polymorph in this dataset = 0.000 eV/atom

Record 8
# Zn3PdO (PBE, optimized geometry)
data_Zn3PdO
_chemical_formula_sum 'Zn3 Pd1 O1'
_space_group_name_H-M_alt 'P m -3 m'
_space_group_IT_number 221
_space_group_name_Hall '-P 4 2 3'
_cell_length_a 4.7517
_cell_length_b 4.7517
_cell_length_c 4.7517
_cell_angle_alpha 90.00
_cell_angle_beta 90.00
_cell_angle_gamma 90.00
loop_
_atom_site_label
_atom_site_type_symbol
_atom_site_fract_x
_atom_site_fract_y
_atom_site_fract_z
Zn1 Zn 0.0000 0.0000 0.5000
Pd1 Pd 0.0000 0.0000 0.0000
O1 O 0.5000 0.5000 0.5000
# Crystal system = cubic
# Formation energy (no corrections) = 460 meV/atom
# Energy above the most stable polymorph in this dataset = 0.794 eV/atom

| no. | DFT total energy (eV/atom) |
| --- | --- |
| 1 | -5.8835 |
| 2 | -7.5151 |
| 3 | -7.0834 |
| 4 | -6.3565 |
| 5 | -7.6255 |
| 6 | -5.0761 |
| 7 | -3.1279 |
| 8 | -2.3342 |